Record 1
{
  "formula": "UMoIr2",
  "functional": "PBE",
  "state": "optimized geometry",
  "space_group": "R-3m, No. 166",
  "formation_energy_ev_per_atom": -0.103,
  "magmom_total_mub_per_atom": 0.14,
  "relative_energy_mev_per_atom": 334.3,
  "lattice_angstrom": [[-2.084, -0.332, -1.831], [0.139, -2.022, -1.923], [-5.057, -6.916, 4.875]],
  "species": ["Ir", "Ir", "Mo", "U"],
  "frac_coords": [[0.743, 0.743, 0.770], [0.257, 0.257, 0.230], [0.000, 0.000, 0.000], [0.500, 0.500, 0.500]]
}


Record 2
{
  "formula": "TiHOs3",
  "functional": "PBE",
  "state": "optimized geometry",
  "space_group": "Pm-3m, No. 221",
  "magmom_total_mub_per_atom": 0.56,
  "relative_energy_mev_per_atom": 2639.0,
  "lattice_angstrom": [[4.571, 0.000, 0.000], [0.000, 4.571, 0.000], [0.000, 0.000, 4.571]],
  "species": ["Os", "Os", "Os", "Ti", "H"],
  "frac_coords": [[0.500, 0.000, 0.000], [0.000, 0.500, 0.000], [0.000, 0.000, 0.500], [0.000, 0.000, 0.000], [0.500, 0.500, 0.500]]
}